# 1
Material: Ca3CuSn3
Method: DFT, PBE-GGA
State: relaxed

abc: 4.6805 6.1122 14.6173
angles: 84.90 80.79 67.49
Fractional coordinates of all 14 atoms:
Ca (0.5370, 0.3129, 0.6130)
Ca (0.2570, 0.2524, 0.2336)
Ca (0.5940, 0.7299, 0.0822)
Ca (0.7430, 0.7476, 0.7664)
Ca (0.4060, 0.2701, 0.9178)
Ca (0.4630, 0.6871, 0.3870)
Sn (0.0373, 0.1663, 0.7590)
Sn (0.8802, 0.1624, 0.0771)
Sn (0.9627, 0.8337, 0.2410)
Sn (0.8586, 0.7397, 0.5431)
Sn (0.1198, 0.8376, 0.9229)
Sn (0.1414, 0.2603, 0.4569)
Cu (0.2445, 0.9060, 0.6050)
Cu (0.7555, 0.0940, 0.3950)

Formation energy from the elements, meV/atom: -571

# 2
Material: CaCu5Sn
Method: DFT, PBE-GGA
State: relaxed

abc: 5.1088 8.3537 10.4727
angles: 90.00 90.00 90.00
Fractional coordinates of all 28 atoms:
Cu (0.5002, 0.9329, 0.3112)
Cu (0.0002, 0.5671, 0.8112)
Cu (0.2500, 0.5850, 0.0173)
Cu (0.7500, 0.8178, 0.7479)
Cu (0.7500, 0.9150, 0.5173)
Cu (0.5002, 0.4329, 0.1888)
Cu (0.0002, 0.0671, 0.6888)
Cu (0.7500, 0.5637, 0.6020)
Cu (0.9998, 0.4329, 0.1888)
Cu (0.9998, 0.9329, 0.3112)
Cu (0.7500, 0.3178, 0.7521)
Cu (0.2500, 0.4363, 0.3980)
Cu (0.2500, 0.6822, 0.2479)
Cu (0.2500, 0.1822, 0.2521)
Cu (0.2500, 0.9363, 0.1020)
Cu (0.4998, 0.0671, 0.6888)
Cu (0.2500, 0.0850, 0.4827)
Cu (0.7500, 0.0637, 0.8980)
Cu (0.4998, 0.5671, 0.8112)
Cu (0.7500, 0.4150, 0.9827)
Ca (0.2500, 0.7438, 0.5587)
Ca (0.7500, 0.2562, 0.4413)
Ca (0.2500, 0.2438, 0.9413)
Ca (0.7500, 0.7562, 0.0587)
Sn (0.7500, 0.1415, 0.1422)
Sn (0.2500, 0.3585, 0.6422)
Sn (0.7500, 0.6415, 0.3578)
Sn (0.2500, 0.8585, 0.8578)

Formation energy from the elements, meV/atom: -183

# 3
Material: Ca3Cu2Sn3
Method: DFT, PBE-GGA
State: relaxed

abc: 4.5795 6.0104 15.4483
angles: 90.00 90.00 112.39
Fractional coordinates of all 16 atoms:
Sn (0.3397, 0.6795, 0.2500)
Sn (0.3743, 0.7486, 0.9620)
Sn (0.3743, 0.7486, 0.5380)
Sn (0.6257, 0.2514, 0.4620)
Sn (0.6603, 0.3205, 0.7500)
Sn (0.6257, 0.2514, 0.0380)
Ca (0.6356, 0.2712, 0.2500)
Ca (0.9152, 0.8305, 0.3890)
Ca (0.0848, 0.1695, 0.8890)
Ca (0.0848, 0.1695, 0.6110)
Ca (0.3644, 0.7288, 0.7500)
Ca (0.9152, 0.8305, 0.1110)
Cu (0.2099, 0.4197, 0.3982)
Cu (0.7901, 0.5803, 0.6018)
Cu (0.7901, 0.5803, 0.8982)
Cu (0.2099, 0.4197, 0.1018)

Formation energy from the elements, meV/atom: -498

# 4
Material: CaCuSn3
Method: DFT, PBE-GGA
State: relaxed

abc: 4.5755 4.6069 12.4219
angles: 100.69 90.00 90.00
Fractional coordinates of all 10 atoms:
Cu (0.0000, 0.6131, 0.2262)
Cu (0.0000, 0.3869, 0.7738)
Sn (0.0000, 0.0596, 0.1193)
Sn (0.0000, 0.9404, 0.8807)
Sn (0.5000, 0.5594, 0.1187)
Sn (0.5000, 0.4406, 0.8813)
Sn (0.0000, 0.2837, 0.5673)
Sn (0.0000, 0.7163, 0.4327)
Ca (0.5000, 0.8305, 0.6610)
Ca (0.5000, 0.1695, 0.3390)

Formation energy from the elements, meV/atom: -285